Record 1
Density functional theory data (PBE-GGA) for a relaxed YB3Ru crystal.

```
YB3Ru
1.0
4.0543 0.0000 0.0000
0.0000 4.0543 0.0000
0.0000 0.0000 4.0543
Y B Ru
1 3 1
Direct
0.0000 0.0000 0.0000 Y
0.0000 0.5000 0.5000 B
0.5000 0.0000 0.5000 B
0.5000 0.5000 0.0000 B
0.5000 0.5000 0.5000 Ru
```

Properties
distance to the lowest polymorph of the same formula	314	meV/atom
size of the total moment	0.000	μB/cell

Record 2
Density functional theory data (PBE-GGA) for a relaxed YB2Ru3 crystal.

```
YB2Ru3
1.0
8.8281 0.0000 0.0000
-4.4141 7.6454 0.0000
0.0000 0.0000 3.5825
Y B Ru
3 6 9
Direct
0.0000 0.0000 0.0000 Y
0.3333 0.6667 0.5000 Y
0.6667 0.3333 0.5000 Y
0.1922 0.3844 0.0000 B
0.1922 0.8078 0.0000 B
0.3844 0.1922 0.0000 B
0.6156 0.8078 0.0000 B
0.8078 0.1922 0.0000 B
0.8078 0.6156 0.0000 B
0.0000 0.2841 0.5000 Ru
0.0000 0.5000 0.0000 Ru
0.0000 0.7159 0.5000 Ru
0.2841 0.0000 0.5000 Ru
0.2841 0.2841 0.5000 Ru
0.5000 0.0000 0.0000 Ru
0.5000 0.5000 0.0000 Ru
0.7159 0.0000 0.5000 Ru
0.7159 0.7159 0.5000 Ru
```

Properties
distance to the lowest polymorph of the same formula	219	meV/atom
size of the total moment	0.000	μB/cell

Record 3
Density functional theory data (PBE-GGA) for a relaxed Y2B2Ru crystal.

```
Y2B2Ru
1.0
5.6042 -1.8487 0.0000
5.6042 1.8487 0.0000
-4.6420 0.0000 8.0823
Y B Ru
4 4 2
Direct
0.0055 0.0055 0.1785 Y
0.1747 0.1747 0.5978 Y
0.8253 0.8253 0.4022 Y
0.9945 0.9945 0.8215 Y
0.3288 0.3288 0.9313 B
0.4854 0.4854 0.3961 B
0.5146 0.5146 0.6039 B
0.6712 0.6712 0.0687 B
0.2798 0.2798 0.1344 Ru
0.7202 0.7202 0.8656 Ru
```

Properties
distance to the lowest polymorph of the same formula	0	meV/atom
size of the total moment	0.000	μB/cell

Record 4
Density functional theory data (PBE-GGA) for a relaxed Y2B6Ru crystal.

```
Y2B6Ru
1.0
9.1674 0.0000 0.0000
0.0000 11.5405 0.0000
0.0000 0.0000 3.6668
Y B Ru
8 24 4
Direct
0.0562 0.1272 0.0000 Y
0.1774 0.4137 0.0000 Y
0.3226 0.9137 0.0000 Y
0.4438 0.6272 0.0000 Y
0.5562 0.3728 0.0000 Y
0.6774 0.0863 0.0000 Y
0.8226 0.5863 0.0000 Y
0.9438 0.8728 0.0000 Y
0.0164 0.2872 0.5000 B
0.0536 0.5673 0.5000 B
0.1111 0.9693 0.5000 B
0.1319 0.8144 0.5000 B
0.2096 0.2331 0.5000 B
0.2474 0.5800 0.5000 B
0.2526 0.0800 0.5000 B
0.2904 0.7331 0.5000 B
0.3681 0.3144 0.5000 B
0.3889 0.4693 0.5000 B
0.4464 0.0673 0.5000 B
0.4836 0.7872 0.5000 B
0.5164 0.2128 0.5000 B
0.5536 0.9327 0.5000 B
0.6111 0.5307 0.5000 B
0.6319 0.6856 0.5000 B
0.7096 0.2669 0.5000 B
0.7474 0.9200 0.5000 B
0.7526 0.4200 0.5000 B
0.7904 0.7669 0.5000 B
0.8681 0.1856 0.5000 B
0.8889 0.0307 0.5000 B
0.9464 0.4327 0.5000 B
0.9836 0.7128 0.5000 B
0.1378 0.6788 0.0000 Ru
0.3622 0.1788 0.0000 Ru
0.6378 0.8212 0.0000 Ru
0.8622 0.3212 0.0000 Ru
```

Properties
size of the total moment	0.000	μB/cell
calculated total energy	-272.994	eV per cell

Record 5
Density functional theory data (PBE-GGA) for a relaxed Y2B3Ru2 crystal.

```
Y2B3Ru2
1.0
5.3666 -1.8444 0.0000
5.3666 1.8444 0.0000
-3.0539 0.0000 5.0195
Y B Ru
2 3 2
Direct
0.1241 0.1241 0.2750 Y
0.8759 0.8759 0.7250 Y
0.3991 0.3991 0.1336 B
0.5000 0.5000 0.5000 B
0.6009 0.6009 0.8664 B
0.1660 0.1660 0.7965 Ru
0.8340 0.8340 0.2035 Ru
```

Properties
size of the total moment	0.000	μB/cell
calculated total energy	-53.429	eV per cell

Record 6
Density functional theory data (PBE-GGA) for a relaxed YB2Ru crystal.

```
YB2Ru
1.0
0.0000 2.9364 2.9364
2.9364 0.0000 2.9364
2.9364 2.9364 0.0000
Y B Ru
1 2 1
Direct
0.0000 0.0000 0.0000 Y
0.2500 0.2500 0.2500 B
0.7500 0.7500 0.7500 B
0.5000 0.5000 0.5000 Ru
```

Properties
distance to the lowest polymorph of the same formula	829	meV/atom
size of the total moment	0.000	μB/cell

Record 7
Density functional theory data (PBE-GGA) for a relaxed Y2B7Ru12 crystal.

```
Y2B7Ru12
1.0
9.0622 0.0000 0.0000
-4.5311 7.8481 0.0000
0.0000 0.0000 3.7625
Y B Ru
2 7 12
Direct
0.3333 0.6667 0.2495 Y
0.6667 0.3333 0.7505 Y
0.0000 0.0000 0.0000 B
0.1194 0.7245 0.7547 B
0.2755 0.3949 0.7547 B
0.3949 0.1194 0.2453 B
0.6051 0.8806 0.7547 B
0.7245 0.6051 0.2453 B
0.8806 0.2755 0.2453 B
0.0388 0.4314 0.7478 Ru
0.1030 0.2433 0.2497 Ru
0.1402 0.8970 0.2497 Ru
0.2433 0.1402 0.7503 Ru
0.3926 0.9612 0.7478 Ru
0.4314 0.3926 0.2522 Ru
0.5686 0.6074 0.7478 Ru
0.6074 0.0388 0.2522 Ru
0.7567 0.8598 0.2497 Ru
0.8598 0.1030 0.7503 Ru
0.8970 0.7567 0.7503 Ru
0.9612 0.5686 0.2522 Ru
```

Properties
size of the total moment	0.000	μB/cell
calculated total energy	-174.241	eV per cell

Record 8
Density functional theory data (PBE-GGA) for a relaxed Y3B7Ru crystal.

```
Y3B7Ru
1.0
1.7602 -7.8826 0.0000
1.7602 7.8826 0.0000
0.0000 0.0000 9.3443
Y B Ru
6 14 2
Direct
0.1057 0.8943 0.5605 Y
0.1057 0.8943 0.9395 Y
0.2443 0.7557 0.2500 Y
0.7557 0.2443 0.7500 Y
0.8943 0.1057 0.0605 Y
0.8943 0.1057 0.4395 Y
0.2728 0.7272 0.5342 B
0.2728 0.7272 0.9658 B
0.3685 0.6315 0.6512 B
0.3685 0.6315 0.8488 B
0.4580 0.5420 0.2500 B
0.4791 0.5209 0.5964 B
0.4791 0.5209 0.9036 B
0.5209 0.4791 0.0964 B
0.5209 0.4791 0.4036 B
0.5420 0.4580 0.7500 B
0.6315 0.3685 0.1512 B
0.6315 0.3685 0.3488 B
0.7272 0.2728 0.0342 B
0.7272 0.2728 0.4658 B
0.0542 0.9458 0.2500 Ru
0.9458 0.0542 0.7500 Ru
```

Properties
size of the total moment	0.000	μB/cell
calculated total energy	-164.705	eV per cell

Record 9
Density functional theory data (PBE-GGA) for a relaxed YB4Ru6 crystal.

```
YB4Ru6
1.0
-2.8248 2.8248 4.1313
2.8248 -2.8248 4.1313
2.8248 2.8248 -4.1313
Y B Ru
1 4 6
Direct
0.0000 0.0000 0.0000 Y
0.2892 0.2892 0.7100 B
0.4208 0.7108 0.0000 B
0.5792 0.5792 0.2900 B
0.7108 0.4208 0.0000 B
0.0000 0.5000 0.5000 Ru
0.0920 0.4716 0.0000 Ru
0.4716 0.0920 0.0000 Ru
0.5000 0.0000 0.5000 Ru
0.5284 0.5284 0.6204 Ru
0.9080 0.9080 0.3796 Ru
```

Properties
size of the total moment	0.000	μB/cell
calculated total energy	-90.235	eV per cell

Record 10
Density functional theory data (PBE-GGA) for a relaxed YB2Ru crystal.

```
YB2Ru
1.0
5.9318 0.0000 0.0000
0.0000 5.3293 0.0000
0.0000 0.0000 6.3736
Y B Ru
4 8 4
Direct
0.0115 0.2500 0.1633 Y
0.4885 0.7500 0.6633 Y
0.5115 0.2500 0.3367 Y
0.9885 0.7500 0.8367 Y
0.1299 0.5850 0.4617 B
0.1299 0.9150 0.4617 B
0.3701 0.0850 0.9617 B
0.3701 0.4150 0.9617 B
0.6299 0.5850 0.0383 B
0.6299 0.9150 0.0383 B
0.8701 0.0850 0.5383 B
0.8701 0.4150 0.5383 B
0.1819 0.2500 0.6813 Ru
0.3181 0.7500 0.1813 Ru
0.6819 0.2500 0.8187 Ru
0.8181 0.7500 0.3187 Ru
```

Properties
distance to the lowest polymorph of the same formula	0	meV/atom
size of the total moment	0.000	μB/cell

Record 11
Density functional theory data (PBE-GGA) for a relaxed YB3Ru crystal.

```
YB3Ru
1.0
4.2629 0.0000 0.0000
0.0000 4.2629 0.0000
0.0000 0.0000 4.2629
Y B Ru
1 3 1
Direct
0.0000 0.0000 0.0000 Y
0.0000 0.0000 0.5000 B
0.0000 0.5000 0.0000 B
0.5000 0.0000 0.0000 B
0.5000 0.5000 0.5000 Ru
```

Properties
distance to the lowest polymorph of the same formula	2788	meV/atom
size of the total moment	0.000	μB/cell

Record 12
Density functional theory data (PBE-GGA) for a relaxed YB3Ru crystal.

```
YB3Ru
1.0
1.6077 -7.2719 0.0000
1.6077 7.2719 0.0000
0.0000 0.0000 4.8813
Y B Ru
2 6 2
Direct
0.0909 0.9091 0.7500 Y
0.9091 0.0909 0.2500 Y
0.1871 0.8129 0.2500 B
0.2833 0.7167 0.0364 B
0.2833 0.7167 0.4636 B
0.7167 0.2833 0.5364 B
0.7167 0.2833 0.9636 B
0.8129 0.1871 0.7500 B
0.4129 0.5871 0.7500 Ru
0.5871 0.4129 0.2500 Ru
```

Properties
distance to the lowest polymorph of the same formula	0	meV/atom
size of the total moment	0.000	μB/cell

Record 13
Density functional theory data (PBE-GGA) for a relaxed YB2Ru crystal.

```
YB2Ru
1.0
1.8225 1.0522 4.7103
-1.8225 1.0522 4.7103
0.0000 -2.1045 4.7103
Y B Ru
1 2 1
Direct
0.0000 0.0000 0.0000 Y
0.2061 0.2061 0.2061 B
0.7939 0.7939 0.7939 B
0.5000 0.5000 0.5000 Ru
```

Properties
distance to the lowest polymorph of the same formula	311	meV/atom
size of the total moment	0.000	μB/cell

Record 14
Density functional theory data (PBE-GGA) for a relaxed Y3B3Ru2 crystal.

```
Y3B3Ru2
1.0
1.8401 -5.5058 0.0000
1.8401 5.5058 0.0000
0.0000 0.0000 13.0325
Y B Ru
6 6 4
Direct
0.0687 0.9313 0.6134 Y
0.0687 0.9313 0.8866 Y
0.3480 0.6520 0.7500 Y
0.6520 0.3480 0.2500 Y
0.9313 0.0687 0.1134 Y
0.9313 0.0687 0.3866 Y
0.3216 0.6784 0.2500 B
0.3586 0.6414 0.5435 B
0.3586 0.6414 0.9565 B
0.6414 0.3586 0.0435 B
0.6414 0.3586 0.4565 B
0.6784 0.3216 0.7500 B
0.2270 0.7730 0.0829 Ru
0.2270 0.7730 0.4171 Ru
0.7730 0.2270 0.5829 Ru
0.7730 0.2270 0.9171 Ru
```

Properties
size of the total moment	0.000	μB/cell
calculated total energy	-121.515	eV per cell

Record 15
Density functional theory data (PBE-GGA) for a relaxed Y2B10Ru crystal.

```
Y2B10Ru
1.0
5.7069 0.0000 0.0000
0.0000 11.3524 0.0000
0.0000 0.0000 4.1721
Y B Ru
4 20 2
Direct
0.2220 0.1302 0.0000 Y
0.2780 0.6302 0.0000 Y
0.7220 0.3698 0.0000 Y
0.7780 0.8698 0.0000 Y
0.0574 0.3075 0.5000 B
0.1198 0.9583 0.5000 B
0.1343 0.8025 0.5000 B
0.2225 0.3813 0.1995 B
0.2225 0.3813 0.8005 B
0.2775 0.8813 0.1995 B
0.2775 0.8813 0.8005 B
0.3657 0.3025 0.5000 B
0.3802 0.4583 0.5000 B
0.4426 0.8075 0.5000 B
0.5574 0.1925 0.5000 B
0.6198 0.5417 0.5000 B
0.6343 0.6975 0.5000 B
0.7225 0.1187 0.1995 B
0.7225 0.1187 0.8005 B
0.7775 0.6187 0.1995 B
0.7775 0.6187 0.8005 B
0.8657 0.1975 0.5000 B
0.8802 0.0417 0.5000 B
0.9426 0.6925 0.5000 B
0.0000 0.5000 0.5000 Ru
0.5000 0.0000 0.5000 Ru
```

Properties
size of the total moment	0.000	μB/cell
calculated total energy	-190.446	eV per cell

Record 16
Density functional theory data (PBE-GGA) for a relaxed Y2B4Ru3 crystal.

```
Y2B4Ru3
1.0
0.0000 4.6107 4.8035
2.8184 0.0000 4.8035
2.8184 4.6107 0.0000
Y B Ru
2 4 3
Direct
0.1585 0.1585 0.8415 Y
0.8415 0.8415 0.1585 Y
0.1198 0.5495 0.4505 B
0.4505 0.8802 0.1198 B
0.5495 0.1198 0.8802 B
0.8802 0.4505 0.5495 B
0.0000 0.0000 0.5000 Ru
0.5000 0.5000 0.0000 Ru
0.5000 0.5000 0.5000 Ru
```

Properties
size of the total moment	0.358	μB/cell
calculated total energy	-68.124	eV per cell

Record 17
Density functional theory data (PBE-GGA) for a relaxed YB2Ru3 crystal.

```
YB2Ru3
1.0
5.5289 0.0000 0.0000
-2.7644 4.7881 0.0000
0.0000 0.0000 3.0222
Y B Ru
1 2 3
Direct
0.0000 0.0000 0.0000 Y
0.3333 0.6667 0.0000 B
0.6667 0.3333 0.0000 B
0.0000 0.5000 0.5000 Ru
0.5000 0.0000 0.5000 Ru
0.5000 0.5000 0.5000 Ru
```

Properties
distance to the lowest polymorph of the same formula	0	meV/atom
size of the total moment	0.000	μB/cell

Record 18
Density functional theory data (PBE-GGA) for a relaxed YZnBRu2 crystal.

```
YZnBRu2
1.0
4.2828 0.0000 0.0000
0.0000 4.2828 0.0000
0.0000 0.0000 4.0845
Y Zn B Ru
1 1 1 2
Direct
0.0000 0.0000 0.0000 Y
0.5000 0.5000 0.0000 Zn
0.5000 0.5000 0.5000 B
0.0000 0.5000 0.5000 Ru
0.5000 0.0000 0.5000 Ru
```

Properties
size of the total moment	0.000	μB/cell
calculated total energy	-34.215	eV per cell

Record 19
Density functional theory data (PBE-GGA) for a relaxed Y2ZnB2Ru5 crystal.

```
Y2ZnB2Ru5
1.0
9.5913 0.0000 0.0000
0.0000 9.5913 0.0000
0.0000 0.0000 3.1295
Y Zn B Ru
4 2 4 10
Direct
0.1759 0.3241 0.0000 Y
0.3241 0.8241 0.0000 Y
0.6759 0.1759 0.0000 Y
0.8241 0.6759 0.0000 Y
0.0000 0.0000 0.0000 Zn
0.5000 0.5000 0.0000 Zn
0.1245 0.6245 0.0000 B
0.3755 0.1245 0.0000 B
0.6245 0.8755 0.0000 B
0.8755 0.3755 0.0000 B
0.0000 0.5000 0.5000 Ru
0.0699 0.7809 0.5000 Ru
0.2191 0.0699 0.5000 Ru
0.2809 0.5699 0.5000 Ru
0.4301 0.2809 0.5000 Ru
0.5000 0.0000 0.5000 Ru
0.5699 0.7191 0.5000 Ru
0.7191 0.4301 0.5000 Ru
0.7809 0.9301 0.5000 Ru
0.9301 0.2191 0.5000 Ru
```

Properties
size of the total moment	0.001	μB/cell
calculated total energy	-154.756	eV per cell

no.,DOS(E_F) (states/eV per atom)
1,0.26
2,1.01
3,0.64
4,0.08
5,0.33
6,0.40
7,0.94
8,0.22
9,0.90
10,0.75
11,0.81
12,0.04
13,0.53
14,0.98
15,0.12
16,1.02
17,0.76
18,0.52
19,1.15